Record 1
## Zr2PaSn (PBE)

Data for a relaxed Zr2PaSn crystal.

Summary:
- E above lowest polymorph: 0.000 eV/atom
- Energy of formation: -0.30 eV per atom
- Magnetic moment: 0.0 μB per formula unit
- Calculated volume: 22.897 Å³ per atom

abc: 3.982 4.796 4.796
angles: 90.00 90.00 90.00
Element x y z (fractional)
Zr1 0.000 0.500 0.000
Zr2 0.000 0.000 0.500
Pa1 0.500 0.500 0.500
Sn1 0.500 0.000 0.000

Record 2
## Zr2PaSn (PBE)

Data for a relaxed Zr2PaSn crystal.

Summary:
- E above lowest polymorph: 0.192 eV/atom
- Energy of formation: -0.11 eV per atom
- Magnetic moment: 0.0 μB per formula unit
- Calculated volume: 23.806 Å³ per atom

abc: 3.245 3.245 10.613
angles: 81.12 81.12 59.97
Element x y z (fractional)
Pa1 0.500 0.500 0.500
Zr1 0.253 0.253 0.242
Zr2 0.081 0.081 0.758
Sn1 0.667 0.667 0.000

Record 3
## ZrPaSn (PBE)

Data for a relaxed ZrPaSn crystal.

Summary:
- E above lowest polymorph: 0.242 eV/atom
- Energy of formation: -0.07 eV per atom
- Magnetic moment: 0.0 μB per formula unit
- Calculated volume: 25.030 Å³ per atom

abc: 5.285 6.292 9.032
angles: 90.00 90.00 90.00
Element x y z (fractional)
Zr1 0.500 0.250 0.750
Zr2 0.000 0.750 0.250
Zr3 0.500 0.750 0.750
Zr4 0.000 0.250 0.250
Pa1 0.000 0.000 0.583
Pa2 0.500 0.500 0.417
Pa3 0.000 0.500 0.917
Pa4 0.500 0.000 0.083
Sn1 0.500 0.000 0.419
Sn2 0.000 0.500 0.581
Sn3 0.000 0.000 0.919
Sn4 0.500 0.500 0.081

Record 4
## ZrPaSn (PBE)

Data for a relaxed ZrPaSn crystal.

Summary:
- E above lowest polymorph: 0.594 eV/atom
- Energy of formation: 0.28 eV per atom
- Magnetic moment: 0.4 μB per formula unit
- Calculated volume: 27.060 Å³ per atom

abc: 3.061 3.061 8.931
angles: 99.87 99.87 90.00
Last column: magnetic moment on the atom in μB.
Element x y z (fractional)
Sn1 0.953 0.953 0.907  0.01
Pa1 0.768 0.768 0.535  0.35
Zr1 0.129 0.129 0.258  0.01

Record 5
## ZrPa2Sn (PBE)

Data for a relaxed ZrPa2Sn crystal.

Summary:
- E above lowest polymorph: 0.397 eV/atom
- Energy of formation: 0.15 eV per atom
- Magnetic moment: 0.0 μB per formula unit
- Calculated volume: 25.354 Å³ per atom

abc: 5.234 5.234 5.234
angles: 60.00 60.00 60.00
Element x y z (fractional)
Pa1 0.250 0.250 0.250
Pa2 0.750 0.750 0.750
Zr1 0.500 0.500 0.500
Sn1 0.000 0.000 0.000

Record 6
## ZrPa3Sn5 (PBE)

Data for a relaxed ZrPa3Sn5 crystal.

Summary:
- Energy of formation: -0.35 eV per atom
- Magnetic moment: 0.0 μB per formula unit
- Calculated volume: 25.460 Å³ per atom

abc: 6.194 9.243 9.243
angles: 120.00 90.00 90.00
Element x y z (fractional)
Sn1 0.250 0.000 0.275
Sn2 0.500 0.333 0.667
Sn3 0.250 0.725 0.725
Sn4 0.500 0.667 0.333
Sn5 0.750 0.000 0.725
Sn6 0.750 0.725 0.000
Sn7 0.000 0.333 0.667
Sn8 0.000 0.667 0.333
Sn9 0.750 0.275 0.275
Sn10 0.250 0.275 0.000
Zr1 0.000 0.000 0.000
Zr2 0.500 0.000 0.000
Pa1 0.250 0.000 0.617
Pa2 0.250 0.383 0.383
Pa3 0.750 0.383 0.000
Pa4 0.250 0.617 0.000
Pa5 0.750 0.000 0.383
Pa6 0.750 0.617 0.617

Record 7
## SrPa4 (PBE)

Data for a relaxed SrPa4 crystal.

Summary:
- Energy of formation: 1.95 eV per atom
- Magnetic moment: 0.0 μB per formula unit
- Calculated volume: 30.285 Å³ per atom

abc: 5.330 5.330 5.330
angles: 90.00 90.00 90.00
Element x y z (fractional)
Pa1 0.000 0.000 0.000
Pa2 0.500 0.000 0.500
Pa3 0.500 0.500 0.000
Pa4 0.000 0.500 0.500
Sr1 0.500 0.500 0.500

Record 8
## SrTb2Pa (PBE)

Data for a relaxed SrTb2Pa crystal.

Summary:
- Energy of formation: 0.30 eV per atom
- Magnetic moment: 0.0 μB per formula unit
- Calculated volume: 33.210 Å³ per atom

abc: 3.521 3.521 12.542
angles: 81.93 81.93 60.00
Element x y z (fractional)
Tb1 0.905 0.905 0.284
Tb2 0.095 0.095 0.716
Pa1 0.500 0.500 0.500
Sr1 0.000 0.000 0.000

Computed ρ, in the same sequence as the records: 9.6; 9.3; 9.8; 9.0; 11.0; 10.0; 11.1; 8.0 g cm⁻³.